The following is a DFT calculation (GGA+U) of an optimized crystal structure of FeO.

Geometry as POSCAR:
```
FeO
1.0
7.186 0.000 0.000
0.000 7.186 0.000
0.000 0.000 4.347
Fe O
8 8
Direct
0.149 0.351 0.000
0.157 0.657 0.500
0.343 0.157 0.500
0.351 0.851 0.000
0.649 0.149 0.000
0.657 0.843 0.500
0.843 0.343 0.500
0.851 0.649 0.000
0.143 0.357 0.500
0.151 0.651 0.000
0.349 0.151 0.000
0.357 0.857 0.500
0.643 0.143 0.500
0.651 0.849 0.000
0.849 0.349 0.000
0.857 0.643 0.500
```

Values from the calculation:
The space-group type is No. 127. The electronic total energy is -0.2410 hartree per atom. The theoretical density is 4.25 g/cm3.